The following is a PBE calculation of a relaxed structure of Zn2MoI, from Alexandria.

a = 7.901 Å, b = 7.901 Å, c = 5.724 Å
α = 90.00°, β = 90.00°, γ = 90.00°
Space group I-42d (No. 122)
One atom of each set of equivalent atoms:
Zn 0.221 0.750 0.125
Mo 0.000 0.000 0.000
I 0.000 0.000 0.500

## Properties
**Density**: 6.6 g cm⁻³
**Density of states at the Fermi level**: 0.5526 states/eV/atom
**Total magnetic moment**: 12.5 Bohr magnetons per cell
**Energy above the most stable polymorph in this dataset**: 0.000 eV/atom
**E_form (uncorrected)**: 0.827 eV per atom